# SrBeTlAu PBE optimized geometry
# Energy above the lowest structure with this stoichiometry ... 0 meV/atom
# Uncorrected energy ... -0.099 hartree per atom
data_SrBeTlAu
_chemical_formula_sum 'Sr4 Be4 Tl4 Au4'
_symmetry_space_group_name_H-M 'F -4 3 m'
_symmetry_Int_Tables_number 216
_symmetry_space_group_name_Hall 'F -4 2 3'
_cell_length_a 7.1940
_cell_length_b 7.1940
_cell_length_c 7.1940
_cell_angle_alpha 90.00
_cell_angle_beta 90.00
_cell_angle_gamma 90.00
loop_
_atom_site_label
_atom_site_type_symbol
_atom_site_fract_x
_atom_site_fract_y
_atom_site_fract_z
_atom_site_occupancy
Sr1 Sr 0.0000 0.0000 0.0000 1
Be1 Be 0.2500 0.2500 0.7500 1
Tl1 Tl 0.0000 0.0000 0.5000 1
Au1 Au 0.2500 0.2500 0.2500 1